# 1
Entry from Alexandria via LeMat-Bulk: a PBEsol-optimized structure of ReTePb2 (SCAN).

Calculated values
Space group = No. 166
Formation energy (no corrections) = 0.73 eV/atom
Size of the total moment = 0.00 μB per formula unit

a b c (Å): 3.1671 3.1671 11.4070
angles (deg): 82.02 82.02 60.00
Fractional coordinates of all 4 atoms:
Pb 0.2338 0.2338 0.2987
Pb 0.7662 0.7662 0.7013
Re 0.5000 0.5000 0.5000
Te 0.0000 0.0000 0.0000

---

# 2
Entry from Alexandria via LeMat-Bulk: a PBEsol-optimized structure of Re2TePb (SCAN).

Calculated values
Energy above the most stable polymorph in this dataset = 0.0000 eV/atom
Space group = No. 44
Formation energy (no corrections) = 0.99 eV/atom
Size of the total moment = 0.00 μB per formula unit

a b c (Å): 3.0860 4.7824 6.1999
angles (deg): 112.69 104.41 90.00
Fractional coordinates of all 4 atoms:
Pb 0.2737 0.7737 0.5474
Re 0.0420 0.0420 0.0841
Re 0.7159 0.2159 0.4318
Te 0.4683 0.4683 0.9367

---

# 3
Entry from Alexandria via LeMat-Bulk: a PBEsol-optimized structure of ReTe2Pb (SCAN).

Calculated values
Space group = No. 71
Formation energy (no corrections) = 0.49 eV/atom
Size of the total moment = 0.00 μB per formula unit

a b c (Å): 3.2740 4.9839 6.8233
angles (deg): 111.42 103.88 90.00
Fractional coordinates of all 4 atoms:
Pb 0.5000 0.0000 0.0000
Re 0.0000 0.5000 0.0000
Te 0.6775 0.6775 0.3551
Te 0.3225 0.3225 0.6449

---

# 4
Entry from Alexandria via LeMat-Bulk: a PBEsol-optimized structure of ReTe2Pb (SCAN).

Calculated values
Space group = No. 44
Formation energy (no corrections) = 0.47 eV/atom
Size of the total moment = 0.00 μB per formula unit

a b c (Å): 3.2696 4.4420 7.4410
angles (deg): 107.37 102.69 90.00
Fractional coordinates of all 4 atoms:
Pb 0.5711 0.5711 0.1421
Re 0.2733 0.7733 0.5467
Te 0.9254 0.9254 0.8507
Te 0.7303 0.2303 0.4605

---

# 5
Entry from Alexandria via LeMat-Bulk: a PBEsol-optimized structure of Tl2RePb (SCAN).

Calculated values
Energy above the most stable polymorph in this dataset = 0.1536 eV/atom
Space group = No. 166
ΔE_f = 0.854 eV per atom
Size of the total moment = 0.59 μB per formula unit

a b c (Å): 3.1281 3.1281 10.8606
angles (deg): 81.72 81.72 60.00
Fractional coordinates of all 4 atoms:
Pb 0.5000 0.5000 0.5000
Re 0.0000 0.0000 0.0000
Tl 0.2610 0.2610 0.2169
Tl 0.7390 0.7390 0.7831

---

# 6
Entry from Alexandria via LeMat-Bulk: a PBEsol-optimized structure of Tl2RePb (SCAN).

Calculated values
Energy above the most stable polymorph in this dataset = 0.4799 eV/atom
Space group = No. 139
ΔE_f = 1.181 eV per atom
Size of the total moment = 1.64 μB per formula unit

a b c (Å): 4.4001 4.4001 5.5119
angles (deg): 113.52 113.52 90.00
Fractional coordinates of all 4 atoms:
Pb 0.5000 0.5000 0.0000
Re 0.0000 0.0000 0.0000
Tl 0.7500 0.2500 0.5000
Tl 0.2500 0.7500 0.5000

---

# 7
Entry from Alexandria via LeMat-Bulk: a PBEsol-optimized structure of Tl2RePb (SCAN).

Calculated values
Energy above the most stable polymorph in this dataset = 0.0000 eV/atom
Space group = No. 71
ΔE_f = 0.701 eV per atom
Size of the total moment = 0.00 μB per formula unit

a b c (Å): 3.0280 4.6574 7.5992
angles (deg): 107.84 101.49 90.00
Fractional coordinates of all 4 atoms:
Pb 0.5000 0.0000 0.0000
Re 0.0000 0.5000 0.0000
Tl 0.6857 0.6857 0.3714
Tl 0.3143 0.3143 0.6286

---

# 8
Entry from Alexandria via LeMat-Bulk: a PBEsol-optimized structure of Tl2RePb (SCAN).

Calculated values
Energy above the most stable polymorph in this dataset = 0.2851 eV/atom
Space group = No. 10
ΔE_f = 0.986 eV per atom
Size of the total moment = 1.24 μB per formula unit

a b c (Å): 3.3248 5.0208 5.6625
angles (deg): 90.00 105.70 90.00
Fractional coordinates of all 4 atoms:
Pb 0.5000 0.5000 0.0000
Re 0.5000 0.5000 0.5000
Tl 0.8586 0.0000 0.7291
Tl 0.1414 0.0000 0.2709

---

# 9
Entry from Alexandria via LeMat-Bulk: a PBEsol-optimized structure of TlRePb2 (SCAN).

Calculated values
Space group = No. 166
ΔE_f = 0.665 eV per atom
Size of the total moment = 0.25 μB per formula unit

a b c (Å): 3.2295 3.2295 10.8428
angles (deg): 81.44 81.44 60.00
Fractional coordinates of all 4 atoms:
Pb 0.2349 0.2349 0.2952
Pb 0.7651 0.7651 0.7048
Re 0.5000 0.5000 0.5000
Tl 0.0000 0.0000 0.0000

---

# 10
Entry from Alexandria via LeMat-Bulk: a PBEsol-optimized structure of Tl2RePb (SCAN).

Calculated values
Energy above the most stable polymorph in this dataset = 0.4495 eV/atom
Space group = No. 65
ΔE_f = 1.150 eV per atom
Size of the total moment = 0.68 μB per formula unit

a b c (Å): 2.9983 5.5587 5.5587
angles (deg): 106.74 90.00 90.00
Fractional coordinates of all 4 atoms:
Pb 0.5000 0.0000 0.0000
Re 0.5000 0.5000 0.5000
Tl 0.0000 0.5000 0.0000
Tl 0.0000 0.0000 0.5000

---

# 11
Entry from Alexandria via LeMat-Bulk: a PBEsol-optimized structure of Tl2RePb (SCAN).

Calculated values
Energy above the most stable polymorph in this dataset = 0.2092 eV/atom
Space group = No. 47
ΔE_f = 0.910 eV per atom
Size of the total moment = 1.24 μB per formula unit

a b c (Å): 3.0886 3.2357 9.0842
angles (deg): 90.00 90.00 90.00
Fractional coordinates of all 4 atoms:
Pb 0.5000 0.5000 0.5000
Re 0.5000 0.5000 0.0000
Tl 0.0000 0.0000 0.2057
Tl 0.0000 0.0000 0.7943

---

# 12
Entry from Alexandria via LeMat-Bulk: a PBEsol-optimized structure of Tl2RePb (SCAN).

Calculated values
Energy above the most stable polymorph in this dataset = 0.0664 eV/atom
Space group = No. 99
ΔE_f = 0.767 eV per atom
Size of the total moment = 0.00 μB per formula unit

a b c (Å): 3.1870 3.1870 9.2024
angles (deg): 90.00 90.00 90.00
Fractional coordinates of all 4 atoms:
Pb 0.0000 0.0000 0.5529
Re 0.5000 0.5000 0.7533
Tl 0.0000 0.0000 0.9542
Tl 0.5000 0.5000 0.2397

---

# 13
Entry from Alexandria via LeMat-Bulk: a PBEsol-optimized structure of RePb2W (SCAN).

Calculated values
Energy above the most stable polymorph in this dataset = 0.1100 eV/atom
Space group = No. 65
ΔE_f = 1.444 eV per atom
Size of the total moment = 0.65 μB per formula unit

a b c (Å): 3.0684 3.0684 9.1827
angles (deg): 90.00 90.00 115.94
Fractional coordinates of all 4 atoms:
Pb 0.0000 0.0000 0.2550
Pb 0.0000 0.0000 0.7450
Re 0.5000 0.5000 0.5000
W 0.5000 0.5000 0.0000

---

# 14
Entry from Alexandria via LeMat-Bulk: a PBEsol-optimized structure of RePb3W (SCAN).

Calculated values
Space group = No. 221
ΔE_f = 1.804 eV per atom
Size of the total moment = 5.06 μB per formula unit

a b c (Å): 5.3030 5.3030 5.3030
angles (deg): 90.00 90.00 90.00
Fractional coordinates of all 5 atoms:
Pb 0.0000 0.5000 0.0000
Pb 0.0000 0.0000 0.5000
Pb 0.5000 0.0000 0.0000
Re 0.5000 0.5000 0.5000
W 0.0000 0.0000 0.0000

---

# 15
Entry from Alexandria via LeMat-Bulk: a PBEsol-optimized structure of RePb2W (SCAN).

Calculated values
Energy above the most stable polymorph in this dataset = 0.0000 eV/atom
Space group = No. 216
ΔE_f = 1.334 eV per atom
Size of the total moment = 0.00 μB per formula unit

a b c (Å): 4.7943 4.7943 4.7943
angles (deg): 60.00 60.00 60.00
Fractional coordinates of all 4 atoms:
Pb 0.0000 0.0000 0.0000
Pb 0.7500 0.7500 0.7500
Re 0.5000 0.5000 0.5000
W 0.2500 0.2500 0.2500

---

# 16
Entry from Alexandria via LeMat-Bulk: a PBEsol-optimized structure of Re2PbW (SCAN).

Calculated values
Space group = No. 47
ΔE_f = 1.088 eV per atom
Size of the total moment = 0.00 μB per formula unit

a b c (Å): 3.1258 4.4141 4.8311
angles (deg): 90.00 90.00 90.00
Fractional coordinates of all 4 atoms:
Pb 0.0000 0.5000 0.5000
Re 0.0000 0.0000 0.0000
Re 0.5000 0.0000 0.5000
W 0.5000 0.5000 0.0000

---

# 17
Entry from Alexandria via LeMat-Bulk: a PBEsol-optimized structure of RePbW (SCAN).

Calculated values
Space group = No. 216
ΔE_f = 1.124 eV per atom
Size of the total moment = 0.00 μB per formula unit

a b c (Å): 4.4149 4.4149 4.4149
angles (deg): 60.00 60.00 60.00
Fractional coordinates of all 3 atoms:
Pb 0.0000 0.0000 0.0000
Re 0.5000 0.5000 0.5000
W 0.2500 0.2500 0.2500

---

# 18
Entry from Alexandria via LeMat-Bulk: a PBEsol-optimized structure of Re2PbW (SCAN).

Calculated values
Space group = No. 44
ΔE_f = 0.921 eV per atom
Size of the total moment = 0.00 μB per formula unit

a b c (Å): 3.2437 4.4089 5.3535
angles (deg): 114.32 107.63 90.00
Fractional coordinates of all 4 atoms:
Pb 0.2508 0.7508 0.5016
Re 0.0009 0.0009 0.0019
Re 0.7512 0.2512 0.5024
W 0.4970 0.4970 0.9941

---

# 19
Entry from Alexandria via LeMat-Bulk: a PBEsol-optimized structure of Re2PbW (SCAN).

Calculated values
Space group = No. 35
ΔE_f = 0.885 eV per atom
Size of the total moment = 0.00 μB per formula unit

a b c (Å): 2.8168 2.8168 9.5835
angles (deg): 90.00 90.00 111.97
Fractional coordinates of all 4 atoms:
Pb 0.5000 0.5000 0.2509
Re 0.0000 0.0000 0.9665
Re 0.5000 0.5000 0.7517
W 0.0000 0.0000 0.5309

---

# 20
Entry from Alexandria via LeMat-Bulk: a PBEsol-optimized structure of RePb2W (SCAN).

Calculated values
Energy above the most stable polymorph in this dataset = 0.1308 eV/atom
Space group = No. 47
ΔE_f = 1.465 eV per atom
Size of the total moment = 0.00 μB per formula unit

a b c (Å): 3.2551 4.5975 5.1985
angles (deg): 90.00 90.00 90.00
Fractional coordinates of all 4 atoms:
Pb 0.0000 0.0000 0.0000
Pb 0.5000 0.0000 0.5000
Re 0.5000 0.5000 0.0000
W 0.0000 0.5000 0.5000